An optimized crystal structure of Mg2BeSi. Source: Alexandria, functional GGA-PBE.

For the excess energy over the best structure of this formula in the dataset, the calculation gives 220 meV per atom. Its uncorrected formation energy is 0.239 eV/atom.

The space group is I4/mmm (No. 139) and the conventional cell measures 4.029, 4.029 and 7.862 Å, with angles of 90.00, 90.00 and 90.00 degrees. Symmetry generates all atoms from Mg at (0.000, 0.500, 0.250), Be at (0.000, 0.000, 0.000) and Si at (0.000, 0.000, 0.500).